(1)
DFT (PBE-GGA) results for a relaxed KMg2Pb2 crystal.

Calculated values
The energy above the lowest structure with this stoichiometry comes out at 0 meV per atom.

```
KMg2Pb2
1.0
-2.484 2.484 6.456
2.484 -2.484 6.456
2.484 2.484 -6.456
K Mg Pb
1 2 2
direct
0.000 0.000 0.000 K
0.250 0.750 0.500 Mg
0.750 0.250 0.500 Mg
0.382 0.382 0.000 Pb
0.618 0.618 0.000 Pb
```


(2)
DFT (PBE-GGA) results for a relaxed La5Cu2Au crystal.

Calculated values
The uncorrected energy comes out at -4.78 eV per atom.

```
La5Cu2Au
1.0
-3.732 3.732 8.154
3.732 -3.732 8.154
3.732 3.732 -8.154
La Cu Au
10 4 2
direct
0.000 0.000 0.000 La
0.017 0.517 0.831 La
0.186 0.017 0.500 La
0.314 0.814 0.831 La
0.483 0.314 0.500 La
0.500 0.500 0.000 La
0.517 0.686 0.500 La
0.686 0.186 0.169 La
0.814 0.983 0.500 La
0.983 0.483 0.169 La
0.119 0.381 0.500 Cu
0.381 0.881 0.263 Cu
0.619 0.119 0.737 Cu
0.881 0.619 0.500 Cu
0.250 0.250 0.000 Au
0.750 0.750 0.000 Au
```


(3)
DFT (PBE-GGA) results for a relaxed AsSeBr2Cl crystal.

Calculated values
The energy above the lowest structure with this stoichiometry comes out at 0 meV per atom.

```
AsSeBr2Cl
1.0
5.192 0.000 0.000
0.000 5.192 0.000
0.000 0.000 5.414
As Se Br Cl
1 1 2 1
direct
0.000 0.000 0.000 As
0.000 0.000 0.500 Se
0.000 0.500 0.000 Br
0.500 0.000 0.000 Br
0.500 0.500 0.500 Cl
```


no.,DOS at the Fermi energy (states/eV per cell)
1,1.7
2,23.9
3,4.1